# LiEr2US4 (GGA-PBE, relaxed)
# - Density: 7.2 g/cm3
# - E_form (uncorrected): -1.714 eV/atom
# - DOS(E_F): 0.83 states/eV per atom
# - M_tot: 2.85 μB/cell
data_LiEr2US4
_chemical_formula_sum 'Li1 Er2 U1 S4'
_cell_length_a 6.687
_cell_length_b 3.832
_cell_length_c 6.711
_cell_angle_alpha 90.00
_cell_angle_beta 109.17
_cell_angle_gamma 90.00
_space_group_name_H-M_alt 'P 1 2/m 1'
_space_group_IT_number 10
loop_
_space_group_symop_operation_xyz
'x,y,z'
'-x,-y,-z'
'-x,y,-z'
'x,-y,z'
loop_
_atom_site_label
_atom_site_type_symbol
_atom_site_fract_x
_atom_site_fract_y
_atom_site_fract_z
Li1 Li 0.000 0.000 0.000
Er1 Er 0.500 0.000 0.500
Er2 Er 0.500 0.500 0.000
U1 U 0.000 0.500 0.500
S1 S 0.248 0.500 0.245
S2 S 0.250 0.000 0.757